# 1
{"formula": "TaGa3Cl", "functional": "PBE", "state": "relaxed", "lattice_angstrom": [[4.735, 0.000, 0.000], [0.000, 4.735, 0.000], [0.000, 0.000, 4.735]], "species": ["Cl", "Ga", "Ga", "Ga", "Ta"], "fractional_positions": [[0.000, 0.000, 0.000], [0.000, 0.500, 0.000], [0.000, 0.000, 0.500], [0.500, 0.000, 0.000], [0.500, 0.500, 0.500]], "formation_energy_uncorrected_kj_per_mol_fu": 468, "final_energy_ev_per_atom": -3.59}

# 2
{"formula": "Ta2GaCl8", "functional": "PBE", "state": "relaxed", "lattice_angstrom": [[7.147, -0.196, -0.148], [-0.239, 7.238, 1.413], [-0.239, 3.309, 6.590]], "species": ["Ta", "Ta", "Ga", "Cl", "Cl", "Cl", "Cl", "Cl", "Cl", "Cl", "Cl"], "fractional_positions": [[0.503, 0.749, 0.749], [0.497, 0.251, 0.251], [0.000, 0.000, 0.000], [0.355, 0.368, 0.879], [0.645, 0.121, 0.632], [0.213, 0.826, 0.826], [0.787, 0.174, 0.174], [0.355, 0.879, 0.368], [0.645, 0.632, 0.121], [0.767, 0.656, 0.656], [0.233, 0.344, 0.344]], "formation_energy_uncorrected_kj_per_mol_fu": -1123, "final_energy_ev_per_atom": -4.83}

# 3
{"formula": "TaGaCl6", "functional": "PBE", "state": "relaxed", "lattice_angstrom": [[-5.087, -1.019, 4.322], [1.297, -1.499, 6.457], [-1.282, 5.142, 4.982]], "species": ["Ta", "Ga", "Cl", "Cl", "Cl", "Cl", "Cl", "Cl"], "fractional_positions": [[0.000, 0.000, 0.000], [0.500, 0.500, 0.500], [0.051, 0.372, 0.778], [0.799, 0.052, 0.778], [0.627, 0.202, 0.222], [0.201, 0.948, 0.222], [0.949, 0.628, 0.222], [0.373, 0.798, 0.778]], "formation_energy_uncorrected_kj_per_mol_fu": -916, "final_energy_ev_per_atom": -4.43}

Which formula does entry 3 have? TaGaCl6